First-principles (PBE+U) data for K2NpNi2O6 after structural relaxation, as listed in Alexandria via LeMat-Bulk.

POSCAR file:
```
K2NpNi2O6
1.0
-3.5872 -3.9982 -0.8454
5.3159 -1.1178 0.2447
-1.1409 1.0842 6.4533
O K Np Ni
6 2 1 2
direct
0.6080 0.9372 0.3250 O
0.7412 0.7412 0.6743 O
0.9372 0.6080 0.3250 O
0.0628 0.3920 0.6750 O
0.3920 0.0628 0.6750 O
0.2588 0.2588 0.3257 O
0.1740 0.8260 0.0000 K
0.8260 0.1740 0.0000 K
0.0000 0.0000 0.5000 Np
0.6661 0.3339 0.5000 Ni
0.3339 0.6661 0.5000 Ni
```

E in eV per cell: -70.8
Volume in A^3/atom: 14.66
Symmetry: No. 12